VASP calculation (PBE-GGA) on a relaxed structure of K2ZnW.

Lattice parameters (Å, degrees): 2.761 5.912 5.955 90.00 90.00 90.00
Space group Pmmm (No. 47)
Asymmetric unit:
K 0.000 0.000 0.250 (multiplicity 2)
Zn 0.500 0.500 0.000 (multiplicity 1)
W 0.500 0.500 0.500 (multiplicity 1)

Computed properties:
Electronic total energy (eV per atom): -2.8001
Fermi-level density of states (states/eV per atom): 0.923
Energy of formation (eV per atom): 1.3055